Entry from Alexandria via LeMat-Bulk: crystalline La2AlPd7 at its relaxed geometry (PBE).

```
La2AlPd7
1.0
-1.198 1.427 -3.540
-3.570 -1.732 0.510
-4.200 10.296 5.572
Pd Al La
7 1 2
Direct
0.000 0.000 0.000
0.500 0.000 0.139
0.000 0.500 0.649
0.000 0.500 0.861
0.500 0.500 0.500
0.000 0.000 0.500
0.500 0.000 0.351
0.500 0.500 0.000
0.000 0.500 0.268
0.500 0.000 0.732
```

Output
ΔH_f (0 K)	-0.629	eV per atom
symmetry	P-4m2
D(E_F)	4.250	states/eV/cell